Below is ScMoCl3 at its PBEsol-relaxed geometry, with properties calculated at the SCAN level.

The space group is Pm-3m (No. 221) and the conventional cell measures 4.9333, 4.9333 and 4.9333 Å, with angles of 90.00, 90.00 and 90.00 degrees. Symmetry generates all atoms from Sc at (0.0000, 0.0000, 0.0000), Mo at (0.5000, 0.5000, 0.5000) and Cl at (0.0000, 0.0000, 0.5000).

For the uncorrected formation energy, the calculation gives -713 meV per atom. The crystal system is cubic.

Below is CrTc4 at its PBEsol-relaxed geometry, with properties calculated at the SCAN level.

The space group is I4/mmm (No. 139) and the conventional cell measures 4.0462, 4.0462 and 10.2279 Å, with angles of 90.00, 90.00 and 90.00 degrees. Symmetry generates all atoms from Cr at (0.0000, 0.0000, 0.0000), Tc at (0.0000, 0.0000, 0.3850) and Tc at (0.0000, 0.5000, 0.2500).

The calculation puts the formation energy at 0.49 eV per atom. The crystal system is tetragonal.

Below is Na3CuH at its PBEsol-relaxed geometry, with properties calculated at the SCAN level.

The space group is Pm-3m (No. 221) and the conventional cell measures 4.6014, 4.6014 and 4.6014 Å, with angles of 90.00, 90.00 and 90.00 degrees. Symmetry generates all atoms from Na at (0.0000, 0.0000, 0.5000), Cu at (0.5000, 0.5000, 0.5000) and H at (0.0000, 0.0000, 0.0000).

Its energy relative to the lowest polymorph listed for this composition is 0.0 meV per atom. The crystal system is cubic.

- Number 2 is which compound?
  CrTc4

- Which formula does entry 1 have?
  ScMoCl3

Repeat the third record exactly.
Below is Na3CuH at its PBEsol-relaxed geometry, with properties calculated at the SCAN level.

The space group is Pm-3m (No. 221) and the conventional cell measures 4.6014, 4.6014 and 4.6014 Å, with angles of 90.00, 90.00 and 90.00 degrees. Symmetry generates all atoms from Na at (0.0000, 0.0000, 0.5000), Cu at (0.5000, 0.5000, 0.5000) and H at (0.0000, 0.0000, 0.0000).

Its energy relative to the lowest polymorph listed for this composition is 0.0 meV per atom. The crystal system is cubic.